Density functional theory data (PBE) for a relaxed structure of LiPrErAg.

The calculation puts the total energy at -14.4 eV/cell. The calculation puts the spin magnetization at 0.0 μB/f.u. The formation energy is -0.28 eV/f.u.

abc: 5.255 5.255 5.255
angles: 60.00 60.00 60.00
Element x y z (fractional)
Li1 0.000 0.000 0.000
Pr1 0.750 0.750 0.750
Er1 0.250 0.250 0.250
Ag1 0.500 0.500 0.500